As3IrW | meta-GGA SCAN | single point on PBEsol structure

Unit cell a=4.7083 b=4.7083 c=4.7083 alpha=90.00 beta=90.00 gamma=90.00
With the nearest neighbours (Å) after each atom.
Element x y z (fractional)
As: 0.0000 0.0000 0.5000  2 Ir 2.35
As: 0.0000 0.5000 0.0000  2 Ir 2.35
As: 0.5000 0.0000 0.0000  2 Ir 2.35
Ir: 0.0000 0.0000 0.0000  6 As 2.35
W: 0.5000 0.5000 0.5000  12 As 3.33

Output
The formation energy comes out at 1.417 eV per atom.